Entry 1:
# Tl2Bi

An optimized crystal structure of Tl2Bi (PBE-GGA, Alexandria).

a b c (Å): 3.5548 3.5548 8.1175
angles (deg): 102.65 102.65 90.00
Last column: nearest neighbours and their distance in Å.
Atoms (fractional coordinates):
Tl 0.6593 0.6593 0.3187  4 Bi 3.52, 8 Tl 3.55-3.76
Tl 0.3407 0.3407 0.6813  4 Bi 3.52, 8 Tl 3.55-3.76
Bi 0.0000 0.0000 0.0000  8 Tl 3.52, 4 Bi 3.55

Computed properties:
formation energy = -0.14 eV/f.u.
energy = -2.9171 eV/atom
symmetry = I4/mmm

Entry 2:
# Ba2CdFe

An optimized crystal structure of Ba2CdFe (PBE-GGA, Alexandria).

a b c (Å): 6.2747 6.2747 6.2747
angles (deg): 132.70 132.70 69.13
Last column: nearest neighbours and their distance in Å.
Atoms (fractional coordinates):
Ba 0.0000 0.0000 0.0000  4 Cd 3.56, 4 Fe 3.61, 4 Ba 3.61
Ba 0.2500 0.7500 0.5000  4 Fe 3.56, 4 Cd 3.61, 4 Ba 3.61
Fe 0.7500 0.2500 0.5000  8 Ba 3.56-3.61, 4 Cd 3.61
Cd 0.5000 0.5000 0.0000  8 Ba 3.56-3.61, 4 Fe 3.61

Computed properties:
formation energy = 1.86 eV/f.u.
energy = -2.8403 eV/atom
symmetry = I-4m2

Q: Which of these has the lowest formation energy?
A: Tl2Bi